Density functional theory data (PBE) for an optimized crystal structure of Ba2TaSb. Values from VASP.

D(E_F), states/eV per cell: 3.403
Space group: Pmmm, No. 47
Crystal system: orthorhombic
Final energy, eV per atom: -4.497
ρ, g/cm3: 6.9

```
&SYSTEM
  ibrav = 0, nat = 4, ntyp = 3
/
ATOMIC_SPECIES
Ba 137.33 Ba.upf
Sb 121.76 Sb.upf
Ta 180.95 Ta.upf
CELL_PARAMETERS angstrom
4.486 0.000 0.000
0.000 4.449 0.014
0.000 4.429 7.016
ATOMIC_POSITIONS crystal
Ba 0.000 0.506 0.493
Ba 0.000 0.994 0.007
Sb 0.500 0.250 0.250
Ta 0.500 0.750 0.750
```

=====

Density functional theory data (PBE) for an optimized crystal structure of BaTa3Sb. Values from VASP.

D(E_F), states/eV per cell: 3.625
Space group: Pm-3m, No. 221
Crystal system: cubic
Final energy, eV per atom: -5.501
ρ, g/cm3: 9.9

```
&SYSTEM
  ibrav = 0, nat = 5, ntyp = 3
/
ATOMIC_SPECIES
Ta 180.95 Ta.upf
Sb 121.76 Sb.upf
Ba 137.33 Ba.upf
CELL_PARAMETERS angstrom
5.126 0.000 0.000
0.000 5.126 0.000
0.000 0.000 5.126
ATOMIC_POSITIONS crystal
Ta 0.000 0.000 0.500
Ta 0.500 0.000 0.000
Ta 0.000 0.500 0.000
Sb 0.500 0.500 0.500
Ba 0.000 0.000 0.000
```

=====

Density functional theory data (PBE) for an optimized crystal structure of BaTaSb2. Values from VASP.

D(E_F), states/eV per cell: 3.353
Space group: Imm2, No. 44
Crystal system: orthorhombic
Final energy, eV per atom: -5.674
ρ, g/cm3: 7.7

```
&SYSTEM
  ibrav = 0, nat = 4, ntyp = 3
/
ATOMIC_SPECIES
Sb 121.76 Sb.upf
Ba 137.33 Ba.upf
Ta 180.95 Ta.upf
CELL_PARAMETERS angstrom
8.573 0.000 -0.006
6.836 5.174 0.006
-7.649 -2.752 2.723
ATOMIC_POSITIONS crystal
Sb 0.672 0.172 0.500
Sb 0.981 0.981 0.000
Ba 0.301 0.801 0.500
Ta 0.547 0.547 0.000
```

=====

Density functional theory data (PBE) for an optimized crystal structure of Ba2TaSb. Values from VASP.

D(E_F), states/eV per cell: 2.327
Space group: P4/mmm, No. 123
Crystal system: tetragonal
Final energy, eV per atom: -4.515
ρ, g/cm3: 6.9

```
&SYSTEM
  ibrav = 0, nat = 4, ntyp = 3
/
ATOMIC_SPECIES
Sb 121.76 Sb.upf
Ta 180.95 Ta.upf
Ba 137.33 Ba.upf
CELL_PARAMETERS angstrom
-3.147 3.945 1.867
-2.484 0.273 -4.765
-3.217 -3.271 1.490
ATOMIC_POSITIONS crystal
Sb 0.500 0.000 0.500
Ta 0.000 0.500 0.500
Ba 0.000 0.000 0.000
Ba 0.500 0.500 0.000
```

=====

Density functional theory data (PBE) for an optimized crystal structure of Ba2TaSb. Values from VASP.

D(E_F), states/eV per cell: 3.186
Space group: P4mm, No. 99
Crystal system: tetragonal
Final energy, eV per atom: -4.822
ρ, g/cm3: 6.6

```
&SYSTEM
  ibrav = 0, nat = 4, ntyp = 3
/
ATOMIC_SPECIES
Sb 121.76 Sb.upf
Ta 180.95 Ta.upf
Ba 137.33 Ba.upf
CELL_PARAMETERS angstrom
-2.792 -0.629 -2.584
-2.484 -0.722 2.860
-2.423 9.522 0.299
ATOMIC_POSITIONS crystal
Sb 0.000 0.000 0.573
Ta 0.500 0.500 0.672
Ba 0.000 0.000 0.922
Ba 0.500 0.500 0.333
```

=====

Density functional theory data (PBE) for an optimized crystal structure of BaTa3Sb. Values from VASP.

D(E_F), states/eV per cell: 9.075
Space group: Pm-3m, No. 221
Crystal system: cubic
Final energy, eV per atom: -6.754
ρ, g/cm3: 9.3

```
&SYSTEM
  ibrav = 0, nat = 5, ntyp = 3
/
ATOMIC_SPECIES
Ta 180.95 Ta.upf
Sb 121.76 Sb.upf
Ba 137.33 Ba.upf
CELL_PARAMETERS angstrom
-0.478 5.014 1.392
-5.140 -0.674 0.661
0.814 -1.308 4.994
ATOMIC_POSITIONS crystal
Ta 0.000 0.000 0.500
Ta 0.500 0.000 0.000
Ta 0.000 0.500 0.000
Sb 0.000 0.000 0.000
Ba 0.500 0.500 0.500
```